#a
Here is Ba2AlCl at its PBEsol-relaxed geometry from Alexandria. Energies are from meta-GGA SCAN.

Cell: 8.2008 8.2008 8.2008 Å, 90.00 90.00 90.00°
With the nearest neighbours (Å) after each atom.
Space group Fm-3m (No. 225)
Unique sites:
Ba (0.2500, 0.2500, 0.2500) (multiplicity 8)  4 Cl 3.55, 4 Al 3.55
Al (0.0000, 0.0000, 0.0000) (multiplicity 4)  8 Ba 3.55
Cl (0.0000, 0.0000, 0.5000) (multiplicity 4)  8 Ba 3.55


#b
Here is Ba2AlCl at its PBEsol-relaxed geometry from Alexandria. Energies are from meta-GGA SCAN.

Cell: 8.0049 8.0049 8.0049 Å, 90.00 90.00 90.00°
With the nearest neighbours (Å) after each atom.
Space group F-43m (No. 216)
Unique sites:
Ba (0.0000, 0.0000, 0.0000) (multiplicity 4)  4 Ba 3.47, 4 Cl 3.47
Ba (0.2500, 0.2500, 0.2500) (multiplicity 4)  4 Al 3.47, 4 Ba 3.47
Al (0.0000, 0.0000, 0.5000) (multiplicity 4)  4 Cl 3.47, 4 Ba 3.47
Cl (0.2500, 0.2500, 0.7500) (multiplicity 4)  4 Ba 3.47, 4 Al 3.47


Order of stability, best first: #a, #b


#a
Here is Ba6Dy2Al4O15 at its PBEsol-relaxed geometry from Alexandria. Energies are from meta-GGA SCAN.

Cell: 7.8273 5.8921 18.2991 Å, 90.00 91.61 90.00°
With the nearest neighbours (Å) after each atom.
Space group P2/c (No. 13)
Unique sites:
Ba (0.0000, 0.1761, 0.2500) (multiplicity 2)  8 O 2.75-2.94
Ba (0.0009, 0.2547, 0.9189) (multiplicity 4)  2 O 2.52-2.78
Ba (0.4715, 0.2478, 0.9102) (multiplicity 4)  9 O 2.73-3.03
Ba (0.5000, 0.2259, 0.2500) (multiplicity 2)  7 O 2.68-2.91
Dy (0.2529, 0.2493, 0.0897) (multiplicity 4)  6 O 2.21-2.37
Al (0.2528, 0.2472, 0.4433) (multiplicity 4)  4 O 1.78-1.79
Al (0.2776, 0.2681, 0.7324) (multiplicity 4)  4 O 1.74-1.79
O (0.0377, 0.2543, 0.4082) (multiplicity 4)  1 Al 1.79
O (0.1917, 0.1742, 0.8136) (multiplicity 4)  1 Al 1.74
O (0.2271, 0.4724, 0.1888) (multiplicity 4)  1 Al 1.76
O (0.2547, 0.0476, 0.6659) (multiplicity 4)  1 Al 1.79
O (0.2644, 0.4842, 0.5048) (multiplicity 4)  1 Al 1.79
O (0.2647, 0.0029, 0.9981) (multiplicity 4)  1 Al 1.78
O (0.4460, 0.2628, 0.3934) (multiplicity 4)  1 Al 1.79
O (0.5000, 0.2929, 0.7500) (multiplicity 2)  2 Al 1.77


#b
Here is Ba6Dy2Al4O15 at its PBEsol-relaxed geometry from Alexandria. Energies are from meta-GGA SCAN.

Cell: 14.6559 5.8892 10.1363 Å, 90.00 90.00 90.00°
With the nearest neighbours (Å) after each atom.
Space group Amm2 (No. 38)
Unique sites:
Ba (0.0000, 0.0000, 0.0000) (multiplicity 2)  1 O 2.48
Ba (0.1537, 0.0000, 0.3157) (multiplicity 4)  1 O 2.36
Ba (0.3270, 0.0000, 0.6296) (multiplicity 4)  4 O 2.69-2.78
Ba (0.5000, 0.0000, 0.9412) (multiplicity 2)  6 O 2.63-2.92
Dy (0.2501, 0.0000, 0.9703) (multiplicity 4)  6 O 2.21-2.36
Al (0.1123, 0.0000, 0.6476) (multiplicity 4)  4 O 1.75-1.79
Al (0.3870, 0.0000, 0.2961) (multiplicity 4)  4 O 1.76-1.77
O (0.0000, 0.0000, 0.2449) (multiplicity 2)  3 Ba 2.36-2.48
O (0.0000, 0.0000, 0.5893) (multiplicity 2)  2 Al 1.75
O (0.1426, 0.0000, 0.8165) (multiplicity 4)  1 Al 1.77
O (0.1739, 0.2342, 0.5777) (multiplicity 8)  1 Al 1.79
O (0.3371, 0.2482, 0.3615) (multiplicity 8)  1 Al 1.76
O (0.3722, 0.0000, 0.1227) (multiplicity 4)  1 Al 1.77
O (0.5000, 0.0000, 0.3576) (multiplicity 2)  2 Al 1.77


Order of stability, best first: #a, #b


#a
Here is BaAlF5 at its PBEsol-relaxed geometry from Alexandria. Energies are from meta-GGA SCAN.

Cell: 5.2414 9.6794 7.3754 Å, 90.00 91.14 90.00°
With the nearest neighbours (Å) after each atom.
Space group P2_1 (No. 4)
Unique sites:
Ba (0.0138, 0.0000, 0.3864) (multiplicity 2)  7 F 2.64-2.89
Ba (0.4831, 0.3438, 0.1412) (multiplicity 2)  9 F 2.63-2.93
Al (0.0198, 0.6288, 0.0752) (multiplicity 2)  6 F 1.77-1.89
Al (0.4713, 0.2334, 0.6304) (multiplicity 2)  6 F 1.77-1.91
F (0.0153, 0.7570, 0.9001) (multiplicity 2)  1 Al 1.79
F (0.0549, 0.5128, 0.2600) (multiplicity 2)  1 Al 1.77
F (0.1950, 0.2451, 0.7938) (multiplicity 2)  2 Al 1.87-1.91
F (0.2320, 0.5287, 0.9406) (multiplicity 2)  1 Al 1.79
F (0.2441, 0.2507, 0.4459) (multiplicity 2)  1 Al 1.80
F (0.2504, 0.0470, 0.0295) (multiplicity 2)  1 Al 1.79
F (0.2747, 0.7323, 0.5287) (multiplicity 2)  1 Al 1.79
F (0.3022, 0.7273, 0.1724) (multiplicity 2)  2 Al 1.86-1.89
F (0.4321, 0.0523, 0.6374) (multiplicity 2)  1 Al 1.77
F (0.4890, 0.4160, 0.6564) (multiplicity 2)  1 Al 1.78


#b
Here is BaAlF5 at its PBEsol-relaxed geometry from Alexandria. Energies are from meta-GGA SCAN.

Cell: 4.9212 5.5852 13.6919 Å, 90.00 90.00 90.00°
With the nearest neighbours (Å) after each atom.
Space group P2_12_12_1 (No. 19)
Unique sites:
Ba (0.2264, 0.1581, 0.3429) (multiplicity 4)  10 F 2.62-2.94
Al (0.1857, 0.1505, 0.0850) (multiplicity 4)  6 F 1.78-1.87
F (0.0255, 0.8422, 0.4979) (multiplicity 4)  2 Al 1.86-1.87
F (0.0607, 0.8945, 0.0219) (multiplicity 4)  1 Al 1.78
F (0.0965, 0.6476, 0.3293) (multiplicity 4)  1 Al 1.82
F (0.1355, 0.0418, 0.6686) (multiplicity 4)  1 Al 1.80
F (0.1989, 0.5865, 0.6470) (multiplicity 4)  1 Al 1.79


Order of stability, best first: #b, #a


#a
Here is BaAl2Mo at its PBEsol-relaxed geometry from Alexandria. Energies are from meta-GGA SCAN.

Cell: 5.1737 5.1737 17.6144 Å, 90.00 90.00 90.00°
With the nearest neighbours (Å) after each atom.
Space group I4_1/amd (No. 141, origin choice 2)
Unique sites:
Ba (0.0000, 0.2500, 0.3750) (multiplicity 4)  8 Al 3.63, 4 Mo 3.66
Al (0.0000, 0.0000, 0.0000) (multiplicity 8)  2 Mo 2.55, 2 Al 2.59
Mo (0.0000, 0.2500, 0.8750) (multiplicity 4)  4 Al 2.55


#b
Here is BaAl2Mo at its PBEsol-relaxed geometry from Alexandria. Energies are from meta-GGA SCAN.

Cell: 4.8725 4.8725 6.8671 Å, 90.00 90.00 90.00°
With the nearest neighbours (Å) after each atom.
Space group I-4m2 (No. 119)
Unique sites:
Ba (0.0000, 0.0000, 0.0000) (multiplicity 2)  4 Mo 2.98, 4 Al 2.98
Al (0.0000, 0.0000, 0.5000) (multiplicity 2)  4 Mo 2.98, 4 Al 2.98
Al (0.0000, 0.5000, 0.7500) (multiplicity 2)  4 Ba 2.98, 4 Al 2.98
Mo (0.0000, 0.5000, 0.2500) (multiplicity 2)  4 Ba 2.98, 4 Al 2.98


#c
Here is BaAl2Mo at its PBEsol-relaxed geometry from Alexandria. Energies are from meta-GGA SCAN.

Cell: 5.3690 5.3690 2.8600 Å, 90.00 90.00 90.00°
With the nearest neighbours (Å) after each atom.
Space group P4/mmm (No. 123)
Unique sites:
Ba (0.0000, 0.0000, 0.0000) (multiplicity 1)  2 Ba 2.86, 8 Al 3.04
Al (0.0000, 0.5000, 0.5000) (multiplicity 2)  2 Al 2.86, 4 Ba 3.04, 4 Mo 3.04
Mo (0.5000, 0.5000, 0.0000) (multiplicity 1)  2 Mo 2.86, 8 Al 3.04


Order of stability, best first: #a, #c, #b


#a
Here is Ba2AlP at its PBEsol-relaxed geometry from Alexandria. Energies are from meta-GGA SCAN.

Cell: 3.9510 5.2026 11.1826 Å, 90.00 90.00 90.00°
With the nearest neighbours (Å) after each atom.
Space group Imm2 (No. 44)
Unique sites:
Ba (0.0000, 0.0000, 0.0000) (multiplicity 2)  4 Al 3.40, 2 Ba 3.48, 4 P 3.59-3.69
Ba (0.0000, 0.5000, 0.2069) (multiplicity 2)  4 P 3.36, 2 Ba 3.48, 2 Al 3.49
Al (0.0000, 0.0000, 0.4146) (multiplicity 2)  2 P 2.49
P (0.0000, 0.5000, 0.7790) (multiplicity 2)  2 Al 2.49


#b
Here is Ba2AlP at its PBEsol-relaxed geometry from Alexandria. Energies are from meta-GGA SCAN.

Cell: 5.1126 5.1126 9.2606 Å, 90.00 90.00 90.00°
With the nearest neighbours (Å) after each atom.
Space group I4/mmm (No. 139)
Unique sites:
Ba (0.0000, 0.5000, 0.2500) (multiplicity 4)  4 Al 3.45, 4 P 3.45, 4 Ba 3.62
Al (0.0000, 0.0000, 0.0000) (multiplicity 2)  8 Ba 3.45, 4 P 3.62
P (0.0000, 0.0000, 0.5000) (multiplicity 2)  8 Ba 3.45, 4 Al 3.62


Order of stability, best first: #a, #b


#a
Here is RbBa2Al2 at its PBEsol-relaxed geometry from Alexandria. Energies are from meta-GGA SCAN.

Cell: 9.9135 9.9135 3.7045 Å, 90.00 90.00 90.00°
With the nearest neighbours (Å) after each atom.
Space group P4/mbm (No. 127)
Unique sites:
Rb (0.0000, 0.0000, 0.0000) (multiplicity 2)  4 Ba 3.64, 2 Rb 3.70
Ba (0.1807, 0.3193, 0.0000) (multiplicity 4)  6 Al 3.47-3.53, 2 Rb 3.64, 2 Ba 3.70
Al (0.1048, 0.6048, 0.5000) (multiplicity 4)  1 Al 2.94


#b
Here is RbBa2Al2 at its PBEsol-relaxed geometry from Alexandria. Energies are from meta-GGA SCAN.

Cell: 3.9756 3.9756 27.3816 Å, 90.00 90.00 90.00°
With the nearest neighbours (Å) after each atom.
Space group I4/mmm (No. 139)
Unique sites:
Rb (0.0000, 0.0000, 0.0000) (multiplicity 2)  4 Rb 3.98
Ba (0.0000, 0.0000, 0.3557) (multiplicity 4)  4 Al 3.51
Al (0.0000, 0.5000, 0.2500) (multiplicity 4)  4 Al 2.81


Order of stability, best first: #a, #b


#a
Here is Ba2AlRh at its PBEsol-relaxed geometry from Alexandria. Energies are from meta-GGA SCAN.

Cell: 7.3533 7.3604 4.2167 Å, 90.00 90.00 90.00°
With the nearest neighbours (Å) after each atom.
Space group Cmmm (No. 65)
Unique sites:
Ba (0.2500, 0.2500, 0.0000) (multiplicity 4)  4 Al 3.35, 4 Rh 3.35, 4 Ba 3.68
Al (0.0000, 0.0000, 0.5000) (multiplicity 2)  8 Ba 3.35, 4 Rh 3.68
Rh (0.0000, 0.5000, 0.5000) (multiplicity 2)  8 Ba 3.35, 4 Al 3.68


#b
Here is Ba2AlRh at its PBEsol-relaxed geometry from Alexandria. Energies are from meta-GGA SCAN.

Cell: 3.5353 3.5353 9.4757 Å, 90.00 90.00 90.00°
With the nearest neighbours (Å) after each atom.
Space group P4mm (No. 99)
Unique sites:
Ba (0.0000, 0.0000, 0.0000) (multiplicity 1)  1 Rh 3.11, 4 Al 3.44
Ba (0.5000, 0.5000, 0.4184) (multiplicity 1)  1 Al 3.14, 4 Rh 3.47
Al (0.5000, 0.5000, 0.7499) (multiplicity 1)  4 Rh 2.61
Rh (0.0000, 0.0000, 0.6720) (multiplicity 1)  4 Al 2.61


Order of stability, best first: #b, #a


#a
Here is BaScAl2 at its PBEsol-relaxed geometry from Alexandria. Energies are from meta-GGA SCAN.

Cell: 5.4554 5.4554 3.3821 Å, 90.00 90.00 90.00°
With the nearest neighbours (Å) after each atom.
Space group P4/mmm (No. 123)
Unique sites:
Ba (0.0000, 0.0000, 0.0000) (multiplicity 1)  8 Al 3.21, 2 Ba 3.38
Sc (0.5000, 0.5000, 0.0000) (multiplicity 1)  8 Al 3.21, 2 Sc 3.38
Al (0.0000, 0.5000, 0.5000) (multiplicity 2)  4 Ba 3.21, 4 Sc 3.21, 2 Al 3.38


#b
Here is BaScAl2 at its PBEsol-relaxed geometry from Alexandria. Energies are from meta-GGA SCAN.

Cell: 4.7372 4.7372 18.3470 Å, 90.00 90.00 120.00°
With the nearest neighbours (Å) after each atom.
Space group R-3m (No. 166, hexagonal axes)
Unique sites:
Ba (0.0000, 0.0000, 0.0000) (multiplicity 3)  8 Al 3.66-3.67, 6 Sc 4.10
Sc (0.0000, 0.0000, 0.5000) (multiplicity 3)  6 Al 2.80
Al (0.0000, 0.0000, 0.1997) (multiplicity 6)  3 Sc 2.80, 3 Al 2.99


Order of stability, best first: #b, #a